# ScSi2Ni, PBEsol geometry, DFT meta-GGA SCAN
# Total magnetization = 0.0 μB/f.u.
# ΔE_f (raw) = -705 meV per atom
# E_tot = -53.26 eV per formula unit
data_ScSi2Ni
_chemical_formula_sum 'Sc3 Si6 Ni3'
_space_group_name_H-M_alt 'R -3 m'
_space_group_IT_number 166
_space_group_name_Hall '-R 3 2"'
_cell_length_a 3.7993
_cell_length_b 3.7993
_cell_length_c 14.0196
_cell_angle_alpha 90.00
_cell_angle_beta 90.00
_cell_angle_gamma 120.00
loop_
_atom_site_label
_atom_site_type_symbol
_atom_site_fract_x
_atom_site_fract_y
_atom_site_fract_z
Sc1 Sc 0.0000 0.0000 0.0000
Si1 Si 0.0000 0.0000 0.2156
Ni1 Ni 0.0000 0.0000 0.5000